1.
4
Lattice="3.051 0.000 0.000 -1.525 4.637 -0.012 0.000 -1.614 5.415" Properties=species:S:1:pos:R:3 comment="LaCrRe2 GGA-PBEsol optimized geometry" spacegroup=Cm ef_ev_per_fu=2.28 pbc="T T T"
Cr 1.525 -0.687 3.308
La 1.525 1.922 1.352
Re 1.525 2.946 4.831
Re 0.000 1.058 4.023

---

2.
4
Lattice="-1.712 3.617 1.568 -3.232 -0.309 -2.815 -3.439 -3.506 4.332" Properties=species:S:1:pos:R:3 comment="TeBr GGA-PBEsol optimized geometry" final_energy_ev_per_cell=-10.001 spacegroup=P4/nmm pbc="T T T"
Te -2.472 1.654 -0.624
Te 0.000 0.000 0.000
Br -2.091 0.549 2.340
Br -3.820 -2.401 1.368

---

3.
4
Lattice="3.231 0.000 0.000 0.000 3.231 0.000 0.000 0.000 8.605" Properties=species:S:1:pos:R:3 comment="LaSc2Ru GGA-PBEsol optimized geometry" spacegroup=P4/mmm ef_ev_per_fu=-1.17 pbc="T T T"
Sc 0.000 0.000 5.801
Sc 0.000 0.000 2.804
Ru 1.615 1.615 4.303
La 1.615 1.615 0.000

---

4.
4
Lattice="-4.370 -1.292 -0.665 -1.294 -4.318 0.943 -2.726 -0.850 3.614" Properties=species:S:1:pos:R:3 comment="Ta2AgAu GGA-PBEsol optimized geometry" spacegroup=Fm-3m ef_ev_per_fu=1.49 pbc="T T T"
Au -4.195 -3.230 1.946
Ag 0.000 0.000 0.000
Ta -6.292 -4.845 2.919
Ta -2.097 -1.615 0.973

---

5.
4
Lattice="2.419 -0.002 0.000 -0.824 2.274 0.000 0.000 0.000 7.931" Properties=species:S:1:pos:R:3 comment="Fe3Co GGA-PBEsol optimized geometry" spacegroup=Cmmm ef_ev_per_fu=0.13 pbc="T T T"
Co 0.000 0.000 0.000
Fe 0.000 0.000 3.966
Fe 0.797 1.136 1.970
Fe 0.797 1.136 5.962

---

6.
4
Lattice="4.651 0.000 0.000 2.326 4.028 0.000 2.326 1.343 3.798" Properties=species:S:1:pos:R:3 comment="ScCd2Cu GGA-PBEsol optimized geometry" spacegroup=F-43m ef_ev_per_fu=-0.80 pbc="T T T"
Sc 4.651 2.686 1.899
Cu 2.326 1.343 0.949
Cd 6.977 4.028 2.848
Cd 0.000 0.000 0.000

---

7.
38
Lattice="7.005 0.026 -0.184 -2.373 6.833 0.059 -2.968 -1.861 10.205" Properties=species:S:1:pos:R:3 comment="SmH4I3O11 GGA-PBEsol optimized geometry" final_energy_ev_per_cell=-202.251 spacegroup=P-1 pbc="T T T"
Sm 2.355 2.303 2.852
Sm -0.690 2.695 7.228
H 3.888 -0.033 3.592
H -2.224 5.030 6.488
H 4.583 0.119 2.130
H -2.919 4.879 7.950
H 0.423 4.854 1.102
H 1.242 0.144 8.978
H -0.476 6.167 1.246
H 2.141 -1.169 8.834
I -1.010 3.811 3.386
I 2.674 1.187 6.694
I 2.007 4.753 5.700
I -0.343 0.245 4.379
I -1.822 0.107 9.624
I 3.487 4.891 0.456
O 4.396 3.446 2.358
O -2.731 1.552 7.722
O -0.010 2.571 2.479
O 1.674 2.427 7.601
O -1.205 2.722 4.865
O 2.869 2.276 5.215
O 1.537 4.259 3.993
O 0.128 0.739 6.087
O 4.329 -0.263 5.273
O -2.665 5.260 4.807
O 0.321 4.672 6.381
O 1.343 0.326 3.699
O -0.328 0.949 8.923
O 1.992 4.048 1.157
O 2.008 1.129 0.808
O -0.343 3.869 9.272
O -1.932 -1.319 8.511
O 3.596 6.317 1.569
O 3.893 0.504 2.754
O -2.228 4.494 7.326
O -0.515 5.169 1.248
O 2.180 -0.171 8.831

---

8.
5
Lattice="5.052 0.000 0.000 0.000 5.385 0.000 0.000 0.000 5.385" Properties=species:S:1:pos:R:3 comment="NaZr2AgSn GGA-PBEsol optimized geometry" spacegroup=P4/mmm ef_ev_per_fu=4.28 pbc="T T T"
Zr 0.000 0.000 2.693
Zr 0.000 2.693 0.000
Sn 0.000 0.000 0.000
Ag 2.526 0.000 0.000
Na 2.526 2.693 2.693

---

9.
4
Lattice="-2.248 -2.079 0.413 4.018 -3.201 -2.221 1.147 1.397 5.297" Properties=species:S:1:pos:R:3 comment="AlSb2P GGA-PBEsol optimized geometry" final_energy_ev_per_cell=-17.592 spacegroup=C2/m pbc="T T T"
Sb 2.009 -1.600 -1.110
Sb 0.574 0.698 2.648
Al -1.124 -1.039 0.206
P 1.459 -1.941 1.744

---

10.
4
Lattice="3.663 0.000 0.000 0.000 3.807 0.000 -1.832 -1.904 6.889" Properties=species:S:1:pos:R:3 comment="KAgCl2 GGA-PBEsol optimized geometry" final_energy_ev_per_cell=-12.734 spacegroup=Imm2 pbc="T T T"
K 1.832 1.904 0.620
Ag 0.000 1.904 4.051
Cl 1.832 1.904 6.053
Cl 1.832 0.000 3.052

---

11.
5
Lattice="4.212 0.000 0.000 0.000 4.212 0.000 -2.106 -2.106 4.944" Properties=species:S:1:pos:R:3 comment="CaCo2Au2 GGA-PBEsol optimized geometry" spacegroup=I4/mmm ef_ev_per_fu=0.20 pbc="T T T"
Co 0.000 0.000 3.906
Co 2.106 2.106 1.038
Ca 0.000 0.000 0.000
Au 0.000 2.106 2.472
Au 2.106 0.000 2.472

---

12.
4
Lattice="3.000 0.000 0.000 0.000 4.296 0.000 -1.500 -2.148 5.681" Properties=species:S:1:pos:R:3 comment="CrAu2Se GGA-PBEsol optimized geometry" final_energy_ev_per_cell=-21.131 spacegroup=Imm2 pbc="T T T"
Au 1.500 2.148 5.334
Au 1.500 0.000 3.615
Cr 1.500 2.148 0.286
Se 0.000 2.148 2.127

---

13.
5
Lattice="-2.679 4.441 -0.747 -4.412 -2.414 1.470 0.902 1.380 4.974" Properties=species:S:1:pos:R:3 comment="RePb3N GGA-PBEsol optimized geometry" final_energy_ev_per_cell=-26.772 spacegroup=Pm-3m pbc="T T T"
Pb -2.206 -1.207 0.735
Pb 0.451 0.690 2.487
Pb -1.339 2.220 -0.373
Re 0.000 0.000 0.000
N -3.095 1.703 2.848

---

Number 1: total magnetic moment 0.02 μB/f.u.. Number 2: total magnetic moment 0.00 μB/f.u.. Number 3: total magnetic moment 0.00 μB/f.u.. Number 4: total magnetic moment 0.00 μB/f.u.. Number 5: total magnetic moment 8.94 μB/f.u.. Number 6: total magnetic moment 0.00 μB/f.u.. Number 7: total magnetic moment 0.00 μB/f.u.. Number 8: total magnetic moment 0.00 μB/f.u.. Number 9: total magnetic moment 0.00 μB/f.u.. Number 10: total magnetic moment 0.00 μB/f.u.. Number 11: total magnetic moment 3.15 μB/f.u.. Number 12: total magnetic moment 2.66 μB/f.u.. Number 13: total magnetic moment 2.00 μB/f.u..